# 1
Entry from Alexandria via LeMat-Bulk: an optimized crystal structure of ZrZn2In (PBE).

Space group = P4/mmm
Final energy = -3.750 eV/atom
Total moment = 0.00 Bohr magnetons per cell
Mass density = 7.5 Mg/m³
DFT formation energy = -0.2917 eV per atom

Cell and atoms, written as CIF:
```
data_ZrZn2In
_chemical_formula_sum 'Zr1 Zn2 In1'
_cell_length_a 4.227
_cell_length_b 4.226
_cell_length_c 4.155
_cell_angle_alpha 90.00
_cell_angle_beta 90.00
_cell_angle_gamma 90.00
_symmetry_space_group_name_H-M 'P 1'
_symmetry_Int_Tables_number 1
_symmetry_space_group_name_Hall 'P 1'
loop_
_atom_site_label
_atom_site_type_symbol
_atom_site_fract_x
_atom_site_fract_y
_atom_site_fract_z
_atom_site_occupancy
Zr1 Zr 0.500 0.000 0.500 1
Zn1 Zn 0.000 0.000 0.000 1
In1 In 0.000 0.500 0.500 1
Zn2 Zn 0.500 0.500 0.000 1
```


# 2
Entry from Alexandria via LeMat-Bulk: an optimized crystal structure of TbSmDyIn (PBE).

Space group = F-43m
Final energy = -4.301 eV/atom
Total moment = 1.25 Bohr magnetons per cell
Mass density = 8.3 Mg/m³
DFT formation energy = -0.1286 eV per atom

Cell and atoms, written as CIF:
```
data_TbSmDyIn
_chemical_formula_sum 'Tb1 Sm1 Dy1 In1'
_cell_length_a 5.488
_cell_length_b 5.488
_cell_length_c 5.488
_cell_angle_alpha 60.00
_cell_angle_beta 60.00
_cell_angle_gamma 60.00
_symmetry_space_group_name_H-M 'P 1'
_symmetry_Int_Tables_number 1
_symmetry_space_group_name_Hall 'P 1'
loop_
_atom_site_label
_atom_site_type_symbol
_atom_site_fract_x
_atom_site_fract_y
_atom_site_fract_z
_atom_site_occupancy
In1 In 0.500 0.500 0.500 1
Tb1 Tb 0.000 0.000 0.000 1
Dy1 Dy 0.750 0.750 0.750 1
Sm1 Sm 0.250 0.250 0.250 1
```


# 3
Entry from Alexandria via LeMat-Bulk: an optimized crystal structure of Hg2BSbAu (PBE).

E_form (uncorrected) = 1.29 eV per atom
Space group = P4/mmm
Final energy = -1.648 eV/atom
Total moment = 0.90 Bohr magnetons per cell
Mass density = 6.9 Mg/m³

Cell and atoms, written as CIF:
```
data_Hg2BSbAu
_chemical_formula_sum 'Hg2 B1 Sb1 Au1'
_cell_length_a 5.769
_cell_length_b 5.266
_cell_length_c 5.769
_cell_angle_alpha 90.00
_cell_angle_beta 90.00
_cell_angle_gamma 90.00
_symmetry_space_group_name_H-M 'P 1'
_symmetry_Int_Tables_number 1
_symmetry_space_group_name_Hall 'P 1'
loop_
_atom_site_label
_atom_site_type_symbol
_atom_site_fract_x
_atom_site_fract_y
_atom_site_fract_z
_atom_site_occupancy
Hg1 Hg 0.500 0.000 0.000 1
B1 B 0.500 0.500 0.500 1
Au1 Au 0.000 0.500 0.000 1
Hg2 Hg 0.000 0.000 0.500 1
Sb1 Sb 0.000 0.000 0.000 1
```


# 4
Entry from Alexandria via LeMat-Bulk: an optimized crystal structure of KSbO3 (PBE).

E_form (uncorrected) = -1.16 eV per atom
Space group = P-1
Final energy = -5.174 eV/atom
Total moment = 0.00 Bohr magnetons per cell
Mass density = 3.4 Mg/m³

Cell and atoms, written as CIF:
```
data_KSbO3
_chemical_formula_sum 'K2 Sb2 O6'
_cell_length_a 3.709
_cell_length_b 6.772
_cell_length_c 8.549
_cell_angle_alpha 103.35
_cell_angle_beta 99.00
_cell_angle_gamma 94.82
_symmetry_space_group_name_H-M 'P 1'
_symmetry_Int_Tables_number 1
_symmetry_space_group_name_Hall 'P 1'
loop_
_atom_site_label
_atom_site_type_symbol
_atom_site_fract_x
_atom_site_fract_y
_atom_site_fract_z
_atom_site_occupancy
O1 O 0.300 0.415 0.154 1
O2 O 0.813 0.523 0.478 1
K1 K 0.154 0.303 0.830 1
Sb1 Sb 0.638 0.738 0.688 1
O3 O 0.831 0.113 0.285 1
K2 K 0.846 0.697 0.170 1
O4 O 0.169 0.887 0.715 1
Sb2 Sb 0.362 0.262 0.312 1
O5 O 0.187 0.477 0.522 1
O6 O 0.700 0.585 0.846 1
```


# 5
Entry from Alexandria via LeMat-Bulk: an optimized crystal structure of CaSiW (PBE).

E_form (uncorrected) = 0.65 eV per atom
Space group = F-43m
Final energy = -6.143 eV/atom
Total moment = 1.54 Bohr magnetons per cell
Mass density = 6.6 Mg/m³

Cell and atoms, written as CIF:
```
data_CaSiW
_chemical_formula_sum 'Ca1 Si1 W1'
_cell_length_a 4.468
_cell_length_b 4.468
_cell_length_c 4.468
_cell_angle_alpha 60.00
_cell_angle_beta 60.00
_cell_angle_gamma 60.00
_symmetry_space_group_name_H-M 'P 1'
_symmetry_Int_Tables_number 1
_symmetry_space_group_name_Hall 'P 1'
loop_
_atom_site_label
_atom_site_type_symbol
_atom_site_fract_x
_atom_site_fract_y
_atom_site_fract_z
_atom_site_occupancy
Ca1 Ca 0.500 0.500 0.500 1
Si1 Si 0.750 0.750 0.750 1
W1 W 0.000 0.000 0.000 1
```


# 6
Entry from Alexandria via LeMat-Bulk: an optimized crystal structure of PmTc2ClO8 (PBE).

E_form (uncorrected) = -1.80 eV per atom
Space group = C2/m
Final energy = -7.382 eV/atom
Total moment = 0.11 Bohr magnetons per cell
Mass density = 3.6 Mg/m³

Cell and atoms, written as CIF:
```
data_PmTc2ClO8
_chemical_formula_sum 'Pm1 Tc2 Cl1 O8'
_cell_length_a 6.908
_cell_length_b 6.908
_cell_length_c 5.608
_cell_angle_alpha 90.98
_cell_angle_beta 90.98
_cell_angle_gamma 59.97
_symmetry_space_group_name_H-M 'P 1'
_symmetry_Int_Tables_number 1
_symmetry_space_group_name_Hall 'P 1'
loop_
_atom_site_label
_atom_site_type_symbol
_atom_site_fract_x
_atom_site_fract_y
_atom_site_fract_z
_atom_site_occupancy
Tc1 Tc 0.331 0.331 0.763 1
O1 O 0.195 0.195 0.873 1
O2 O 0.325 0.325 0.458 1
O3 O 0.804 0.391 0.139 1
Tc2 Tc 0.669 0.669 0.237 1
O4 O 0.196 0.609 0.861 1
Cl1 Cl 0.000 0.000 0.500 1
Pm1 Pm 0.000 0.000 0.000 1
O5 O 0.805 0.805 0.127 1
O6 O 0.609 0.196 0.861 1
O7 O 0.391 0.804 0.139 1
O8 O 0.675 0.675 0.542 1
```


# 7
Entry from Alexandria via LeMat-Bulk: an optimized crystal structure of Li3In3AgPd2 (PBE).

Space group = P-62m
Final energy = -3.432 eV/atom
Total moment = 0.00 Bohr magnetons per cell
Mass density = 7.2 Mg/m³
DFT formation energy = -0.4101 eV per atom

Cell and atoms, written as CIF:
```
data_Li3In3AgPd2
_chemical_formula_sum 'Li3 In3 Ag1 Pd2'
_cell_length_a 2.990
_cell_length_b 7.795
_cell_length_c 7.795
_cell_angle_alpha 120.00
_cell_angle_beta 90.00
_cell_angle_gamma 90.00
_symmetry_space_group_name_H-M 'P 1'
_symmetry_Int_Tables_number 1
_symmetry_space_group_name_Hall 'P 1'
loop_
_atom_site_label
_atom_site_type_symbol
_atom_site_fract_x
_atom_site_fract_y
_atom_site_fract_z
_atom_site_occupancy
In1 In 0.000 0.626 0.626 1
Li1 Li 0.500 0.296 0.296 1
In2 In 0.000 0.000 0.374 1
Ag1 Ag 0.000 0.000 0.000 1
In3 In 0.000 0.374 0.000 1
Pd1 Pd 0.500 0.333 0.667 1
Li2 Li 0.500 0.704 0.000 1
Pd2 Pd 0.500 0.667 0.333 1
Li3 Li 0.500 0.000 0.704 1
```


# 8
Entry from Alexandria via LeMat-Bulk: an optimized crystal structure of YSiAs3 (PBE).

E_form (uncorrected) = -0.01 eV per atom
Space group = Pm-3m
Final energy = -5.173 eV/atom
Total moment = 0.00 Bohr magnetons per cell
Mass density = 5.1 Mg/m³

Cell and atoms, written as CIF:
```
data_YSiAs3
_chemical_formula_sum 'Y1 Si1 As3'
_cell_length_a 4.810
_cell_length_b 4.810
_cell_length_c 4.810
_cell_angle_alpha 90.00
_cell_angle_beta 90.00
_cell_angle_gamma 90.00
_symmetry_space_group_name_H-M 'P 1'
_symmetry_Int_Tables_number 1
_symmetry_space_group_name_Hall 'P 1'
loop_
_atom_site_label
_atom_site_type_symbol
_atom_site_fract_x
_atom_site_fract_y
_atom_site_fract_z
_atom_site_occupancy
As1 As 0.000 0.000 0.500 1
Si1 Si 0.000 0.000 0.000 1
Y1 Y 0.500 0.500 0.500 1
As2 As 0.500 0.000 0.000 1
As3 As 0.000 0.500 0.000 1
```